## A
A geometry-optimized BeCrNi3 structure. Source: Alexandria, functional PBE.

Unit cell a=3.8446 b=3.8446 c=3.8446 alpha=90.00 beta=90.00 gamma=90.00
Positions (direct):
Be 0.0000 0.0000 0.0000
Cr 0.5000 0.5000 0.5000
Ni 0.0000 0.0000 0.5000
Ni 0.0000 0.5000 0.0000
Ni 0.5000 0.0000 0.0000

Computed properties:
Total magnetization (μB per atom): 0.052
Space group: Pm-3m, No. 221
Theoretical density (g/cm3): 6.9

## B
A geometry-optimized BeCrNi3 structure. Source: Alexandria, functional PBE.

Unit cell a=4.2000 b=4.2000 c=4.2000 alpha=90.00 beta=90.00 gamma=90.00
Positions (direct):
Be 0.0000 0.0000 0.0000
Cr 0.5000 0.5000 0.5000
Ni 0.0000 0.5000 0.5000
Ni 0.5000 0.0000 0.5000
Ni 0.5000 0.5000 0.0000

Computed properties:
Total magnetization (μB per atom): 0.000
Space group: Pm-3m, No. 221
Theoretical density (g/cm3): 5.3

Energy relative to the most stable one, in meV/atom: A 0; B 763

## A
A geometry-optimized BeCrNi4 structure. Source: Alexandria, functional PBE.

Unit cell a=2.4820 b=2.4820 c=10.0066 alpha=90.00 beta=90.00 gamma=90.00
Positions (direct):
Be 0.0000 0.0000 0.0000
Cr 0.5000 0.5000 0.5000
Ni 0.0000 0.0000 0.3216
Ni 0.0000 0.0000 0.6784
Ni 0.5000 0.5000 0.1409
Ni 0.5000 0.5000 0.8591

Computed properties:
Total magnetization (μB per atom): 0.032
Space group: P4/mmm, No. 123
Theoretical density (g/cm3): 8.0

## B
A geometry-optimized BeCrNi4 structure. Source: Alexandria, functional PBE.

Unit cell a=4.6134 b=4.6134 c=4.6134 alpha=60.00 beta=60.00 gamma=60.00
Positions (direct):
Be 0.0000 0.0000 0.0000
Cr 0.7500 0.7500 0.7500
Ni 0.3747 0.3747 0.3747
Ni 0.3747 0.3747 0.8759
Ni 0.3747 0.8759 0.3747
Ni 0.8759 0.3747 0.3747

Computed properties:
Total magnetization (μB per atom): 0.485
Space group: F-43m, No. 216
Theoretical density (g/cm3): 7.1

Energy relative to the most stable one, in meV/atom: A 0; B 304

## A
A geometry-optimized BeCrNi6 structure. Source: Alexandria, functional PBE.

Unit cell a=6.0350 b=6.0350 c=9.8614 alpha=90.00 beta=90.00 gamma=109.66
Positions (direct):
Be 0.0000 0.0000 0.2448
Be 0.0000 0.0000 0.7552
Be 0.2567 0.7433 0.0000
Be 0.7433 0.2567 0.0000
Cr 0.2531 0.7469 0.5000
Cr 0.5000 0.5000 0.2443
Cr 0.5000 0.5000 0.7557
Cr 0.7469 0.2531 0.5000
Ni 0.0000 0.0000 0.0000
Ni 0.0000 0.0000 0.5000
Ni 0.1219 0.3723 0.1235
Ni 0.1219 0.3723 0.8765
Ni 0.1232 0.3712 0.3727
Ni 0.1232 0.3712 0.6273
Ni 0.2505 0.7495 0.2476
Ni 0.2505 0.7495 0.7524
Ni 0.3712 0.1232 0.3727
Ni 0.3712 0.1232 0.6273
Ni 0.3723 0.1219 0.1235
Ni 0.3723 0.1219 0.8765
Ni 0.5000 0.5000 0.0000
Ni 0.5000 0.5000 0.5000
Ni 0.6277 0.8781 0.1235
Ni 0.6277 0.8781 0.8765
Ni 0.6288 0.8768 0.3727
Ni 0.6288 0.8768 0.6273
Ni 0.7495 0.2505 0.2476
Ni 0.7495 0.2505 0.7524
Ni 0.8768 0.6288 0.3727
Ni 0.8768 0.6288 0.6273
Ni 0.8781 0.6277 0.1235
Ni 0.8781 0.6277 0.8765

Computed properties:
Total magnetization (μB per atom): 0.053
Space group: Cmmm, No. 65
Theoretical density (g/cm3): 8.1

## B
A geometry-optimized BeCrNi6 structure. Source: Alexandria, functional PBE.

Unit cell a=7.3755 b=7.3755 c=7.3755 alpha=152.48 beta=152.48 gamma=39.31
Positions (direct):
Be 0.0000 0.0000 0.0000
Cr 0.5000 0.5000 0.0000
Ni 0.1205 0.6205 0.5000
Ni 0.2480 0.2480 0.0000
Ni 0.3795 0.8795 0.5000
Ni 0.6205 0.1205 0.5000
Ni 0.7520 0.7520 0.0000
Ni 0.8795 0.3795 0.5000

Computed properties:
Total magnetization (μB per atom): 0.512
Space group: I4/mmm, No. 139
Theoretical density (g/cm3): 8.0

Energy relative to the most stable one, in meV/atom: A 0; B 60

## A
A geometry-optimized BeCr3Ni structure. Source: Alexandria, functional PBE.

Unit cell a=3.8914 b=3.8914 c=3.8914 alpha=90.00 beta=90.00 gamma=90.00
Positions (direct):
Be 0.0000 0.0000 0.0000
Cr 0.0000 0.0000 0.5000
Cr 0.0000 0.5000 0.0000
Cr 0.5000 0.0000 0.0000
Ni 0.5000 0.5000 0.5000

Computed properties:
Total magnetization (μB per atom): 0.003
Space group: Pm-3m, No. 221
Theoretical density (g/cm3): 6.3

## B
A geometry-optimized BeCr3Ni structure. Source: Alexandria, functional PBE.

Unit cell a=4.2046 b=4.2046 c=4.2046 alpha=90.00 beta=90.00 gamma=90.00
Positions (direct):
Be 0.0000 0.0000 0.0000
Cr 0.0000 0.5000 0.5000
Cr 0.5000 0.0000 0.5000
Cr 0.5000 0.5000 0.0000
Ni 0.5000 0.5000 0.5000

Computed properties:
Total magnetization (μB per atom): 0.266
Space group: Pm-3m, No. 221
Theoretical density (g/cm3): 5.0

Energy relative to the most stable one, in meV/atom: A 0; B 679